VASP calculation (GGA-PBE) on a relaxed structure of LiLaRu.

Summary:
E_form = 0.16 eV per formula unit
DOS at the Fermi energy = 0.567 states/eV per atom
magnetization = 0.0 μB per formula unit
volume = 19.89 Å³/atom

Cell lengths 3.738, 3.738, 8.542 Å; angles 90.00, 90.00, 90.00 degrees
Space group I4mm (No. 107)
One atom of each set of equivalent atoms:
Li 0.000 0.000 0.000 x2
La 0.000 0.000 0.320 x2
Ru 0.000 0.000 0.614 x2

VASP calculation (GGA-PBE) on a relaxed structure of LiLaRu4.

Summary:
E_form = 1.08 eV per formula unit
DOS at the Fermi energy = 1.245 states/eV per atom
magnetization = 2.7 μB per formula unit
volume = 17.82 Å³/atom

Cell lengths 7.535, 7.535, 7.535 Å; angles 90.00, 90.00, 90.00 degrees
Space group F-43m (No. 216)
One atom of each set of equivalent atoms:
Li 0.000 0.000 0.000 x4
La 0.250 0.250 0.250 x4
Ru 0.126 0.126 0.626 x16

VASP calculation (GGA-PBE) on a relaxed structure of Li3LaRu.

Summary:
E_form = 2.25 eV per formula unit
DOS at the Fermi energy = 0.543 states/eV per atom
magnetization = 0.0 μB per formula unit
volume = 20.79 Å³/atom

Cell lengths 4.702, 4.702, 4.702 Å; angles 90.00, 90.00, 90.00 degrees
Space group Pm-3m (No. 221)
One atom of each set of equivalent atoms:
Li 0.000 0.000 0.500 x3
La 0.500 0.500 0.500 x1
Ru 0.000 0.000 0.000 x1

VASP calculation (GGA-PBE) on a relaxed structure of LiLa3Ru.

Summary:
E_form = -0.23 eV per formula unit
DOS at the Fermi energy = 1.107 states/eV per atom
magnetization = 0.0 μB per formula unit
volume = 32.90 Å³/atom

Cell lengths 7.6539, 7.6539, 19.4563 Å; angles 90.00, 90.00, 120.00 degrees
Space group R-3 (No. 148, hexagonal axes)
One atom of each set of equivalent atoms:
Li 0.0000 0.0000 0.0793 x6
La 0.0096 0.4282 0.9135 x18
Ru 0.0000 0.0000 0.3286 x6

DOS at the Fermi energy of number 1 (LiLaRu)?
0.567 states/eV per atom

Which of these has the highest E_form?
Li3LaRu

Please write out number 3 again, unchanged.
VASP calculation (GGA-PBE) on a relaxed structure of Li3LaRu.

Summary:
E_form = 2.25 eV per formula unit
DOS at the Fermi energy = 0.543 states/eV per atom
magnetization = 0.0 μB per formula unit
volume = 20.79 Å³/atom

Cell lengths 4.702, 4.702, 4.702 Å; angles 90.00, 90.00, 90.00 degrees
Space group Pm-3m (No. 221)
One atom of each set of equivalent atoms:
Li 0.000 0.000 0.500 x3
La 0.500 0.500 0.500 x1
Ru 0.000 0.000 0.000 x1